[1]
First-principles (PBE-GGA) data for a relaxed structure of YTcRh2, as listed in Alexandria.

Cell: 4.919 4.919 5.032 Å, 100.99 100.99 35.17°
Element x y z (fractional)
Y 0.000 0.000 0.000
Tc 0.766 0.766 0.343
Rh 0.243 0.243 0.768
Rh 0.501 0.501 0.488

SG = No. 8
Polymorph energy (0 for the lowest one) = 0.86 kcal/mol of atoms

[2]
First-principles (PBE-GGA) data for a relaxed structure of YTcRh, as listed in Alexandria.

Cell: 5.620 5.620 5.620 Å, 149.42 140.80 50.51°
Element x y z (fractional)
Y 0.000 0.000 0.000
Tc 0.300 0.300 0.000
Rh 0.701 0.701 0.000

SG = No. 44
Polymorph energy (0 for the lowest one) = 0.54 kcal/mol of atoms

[3]
First-principles (PBE-GGA) data for a relaxed structure of YTcRh2, as listed in Alexandria.

Cell: 2.933 3.883 6.092 Å, 90.00 90.00 90.00°
Element x y z (fractional)
Y 0.000 0.000 0.000
Tc 0.500 0.500 0.675
Rh 0.000 0.000 0.507
Rh 0.500 0.500 0.249

SG = No. 25
Polymorph energy (0 for the lowest one) = 2.17 kcal/mol of atoms

[4]
First-principles (PBE-GGA) data for a relaxed structure of YTc3Rh, as listed in Alexandria.

Cell: 4.710 4.710 4.710 Å, 90.00 90.00 90.00°
Element x y z (fractional)
Y 0.000 0.000 0.000
Tc 0.000 0.500 0.500
Tc 0.500 0.000 0.500
Tc 0.500 0.500 0.000
Rh 0.500 0.500 0.500

SG = No. 221
Polymorph energy (0 for the lowest one) = 0.00 kcal/mol of atoms

[5]
First-principles (PBE-GGA) data for a relaxed structure of Zn3TcRh, as listed in Alexandria.

Cell: 4.656 4.656 4.656 Å, 90.00 90.00 90.00°
Element x y z (fractional)
Zn 0.000 0.000 0.500
Zn 0.000 0.500 0.000
Zn 0.500 0.000 0.000
Tc 0.500 0.500 0.500
Rh 0.000 0.000 0.000

SG = No. 221
Polymorph energy (0 for the lowest one) = 0.00 kcal/mol of atoms

[6]
First-principles (PBE-GGA) data for a relaxed structure of ZnTc2Rh, as listed in Alexandria.

Cell: 3.144 4.053 4.519 Å, 90.00 90.00 90.00°
Element x y z (fractional)
Zn 0.000 0.000 0.000
Tc 0.000 0.500 0.500
Tc 0.500 0.000 0.500
Rh 0.500 0.500 0.000

SG = No. 47

| no. | DFT formation energy (eV/atom) | calculated total energy (eV per atom) | theoretical density (g cm⁻³) |
| --- | --- | --- | --- |
| 1 | -0.135 | -8.018 | 9.5 |
| 2 | -0.014 | -8.074 | 8.5 |
| 3 | -0.079 | -7.962 | 9.4 |
| 4 | 1.155 | -7.828 | 7.7 |
| 5 | 0.848 | -3.460 | 6.5 |
| 6 | 0.066 | -7.273 | 10.5 |